Entry 1:
# CrGaBPt2 | Alexandria | PBE | relaxed
data_CrGaBPt2
_chemical_formula_sum 'Cr1 Ga1 B1 Pt2'
_space_group_name_H-M_alt 'P 4/m m m'
_space_group_IT_number 123
_space_group_name_Hall '-P 4 2'
_cell_length_a 4.6376
_cell_length_b 4.6376
_cell_length_c 3.9763
_cell_angle_alpha 90.00
_cell_angle_beta 90.00
_cell_angle_gamma 90.00
loop_
_atom_site_label
_atom_site_type_symbol
_atom_site_fract_x
_atom_site_fract_y
_atom_site_fract_z
Cr1 Cr 0.0000 0.0000 0.0000
Ga1 Ga 0.5000 0.5000 0.5000
B1 B 0.0000 0.0000 0.5000
Pt1 Pt 0.0000 0.5000 0.0000
# Total energy   -5.33 eV/atom
# DFT formation energy   91.4 kJ/mol of atoms

***

Entry 2:
# CrGaB2Pt | Alexandria | PBE | relaxed
data_CrGaB2Pt
_chemical_formula_sum 'Cr1 Ga1 B2 Pt1'
_space_group_name_H-M_alt 'P 4/m m m'
_space_group_IT_number 123
_space_group_name_Hall '-P 4 2'
_cell_length_a 3.9364
_cell_length_b 3.9364
_cell_length_c 4.5678
_cell_angle_alpha 90.00
_cell_angle_beta 90.00
_cell_angle_gamma 90.00
loop_
_atom_site_label
_atom_site_type_symbol
_atom_site_fract_x
_atom_site_fract_y
_atom_site_fract_z
Cr1 Cr 0.0000 0.0000 0.0000
Ga1 Ga 0.0000 0.0000 0.5000
B1 B 0.0000 0.5000 0.5000
Pt1 Pt 0.5000 0.5000 0.0000
# Total energy   -4.62 eV/atom
# DFT formation energy   172.4 kJ/mol of atoms

***

Entry 3:
# CrGaB2Ru | Alexandria | PBE | relaxed
data_CrGaB2Ru
_chemical_formula_sum 'Cr1 Ga1 B2 Ru1'
_space_group_name_H-M_alt 'P 4/m m m'
_space_group_IT_number 123
_space_group_name_Hall '-P 4 2'
_cell_length_a 3.8200
_cell_length_b 3.8200
_cell_length_c 4.8054
_cell_angle_alpha 90.00
_cell_angle_beta 90.00
_cell_angle_gamma 90.00
loop_
_atom_site_label
_atom_site_type_symbol
_atom_site_fract_x
_atom_site_fract_y
_atom_site_fract_z
Cr1 Cr 0.0000 0.0000 0.0000
Ga1 Ga 0.5000 0.5000 0.5000
B1 B 0.0000 0.5000 0.5000
Ru1 Ru 0.5000 0.5000 0.0000
# Total energy   -5.06 eV/atom
# DFT formation energy   192.4 kJ/mol of atoms